Record 1
TbGd4Dy: optimized geometry, PBE.

Summary:
* D(E_F): 2.0099 states/eV/atom
* size of the total moment: 28.5 μB/f.u.
* E_form: 0.257 eV/atom
* raw total energy: -10.669 eV/atom

The structure in CIF format:
```
data_TbGd4Dy
_cell_length_a 9.296
_cell_length_b 9.296
_cell_length_c 9.296
_cell_angle_alpha 90.00
_cell_angle_beta 90.00
_cell_angle_gamma 90.00
_symmetry_space_group_name_H-M 'F -4 3 m'
_symmetry_Int_Tables_number 216
_symmetry_space_group_name_Hall 'F -4 2 3'
loop_
_atom_site_label
_atom_site_fract_x
_atom_site_fract_y
_atom_site_fract_z
_atom_site_occupancy
Tb1 0.000 0.000 0.000 1
Gd1 0.125 0.125 0.625 1
Dy1 0.250 0.250 0.250 1
```

---

Record 2
TbGdDy: optimized geometry, PBE.

Summary:
* D(E_F): 1.5608 states/eV/atom
* size of the total moment: 7.3 μB/f.u.
* E_form: 0.020 eV/atom
* raw total energy: -7.751 eV/atom

The structure in CIF format:
```
data_TbGdDy
_cell_length_a 3.567
_cell_length_b 3.567
_cell_length_c 15.070
_cell_angle_alpha 90.00
_cell_angle_beta 90.00
_cell_angle_gamma 90.00
_symmetry_space_group_name_H-M 'I 4 m m'
_symmetry_Int_Tables_number 107
_symmetry_space_group_name_Hall 'I 4 -2'
loop_
_atom_site_label
_atom_site_fract_x
_atom_site_fract_y
_atom_site_fract_z
_atom_site_occupancy
Tb1 0.000 0.000 0.000 1
Gd1 0.000 0.000 0.332 1
Dy1 0.000 0.000 0.664 1
```

---

Record 3
TbGdDy4: optimized geometry, PBE.

Summary:
* D(E_F): 1.9623 states/eV/atom
* size of the total moment: 8.4 μB/f.u.
* E_form: 0.251 eV/atom
* raw total energy: -5.936 eV/atom

The structure in CIF format:
```
data_TbGdDy4
_cell_length_a 9.298
_cell_length_b 9.298
_cell_length_c 9.298
_cell_angle_alpha 90.00
_cell_angle_beta 90.00
_cell_angle_gamma 90.00
_symmetry_space_group_name_H-M 'F -4 3 m'
_symmetry_Int_Tables_number 216
_symmetry_space_group_name_Hall 'F -4 2 3'
loop_
_atom_site_label
_atom_site_fract_x
_atom_site_fract_y
_atom_site_fract_z
_atom_site_occupancy
Tb1 0.000 0.000 0.000 1
Gd1 0.250 0.250 0.250 1
Dy1 0.125 0.125 0.625 1
```

---

Record 4
TbGdDyTm: optimized geometry, PBE.

Summary:
* D(E_F): 2.1012 states/eV/atom
* size of the total moment: 8.5 μB/f.u.
* E_form: 0.119 eV/atom
* raw total energy: -6.827 eV/atom

The structure in CIF format:
```
data_TbGdDyTm
_cell_length_a 7.987
_cell_length_b 7.987
_cell_length_c 7.987
_cell_angle_alpha 90.00
_cell_angle_beta 90.00
_cell_angle_gamma 90.00
_symmetry_space_group_name_H-M 'F -4 3 m'
_symmetry_Int_Tables_number 216
_symmetry_space_group_name_Hall 'F -4 2 3'
loop_
_atom_site_label
_atom_site_fract_x
_atom_site_fract_y
_atom_site_fract_z
_atom_site_occupancy
Tb1 0.000 0.000 0.000 1
Gd1 0.000 0.000 0.500 1
Dy1 0.250 0.250 0.250 1
Tm1 0.250 0.250 0.750 1
```